[1]
First-principles (PBE) data for a relaxed FeMo crystal, as listed in Alexandria.

Output
E = -18.965 eV per cell
DFT formation energy = 0.16 eV/atom
M_tot = 0.68 μB per cell
DOS at the Fermi energy = 1.8 states/eV per cell

a b c (Å): 2.6800 2.6800 3.6808
angles (deg): 90.00 90.00 90.00
With the nearest neighbours (Å) after each atom.
Space group P4/mmm (No. 123)
Inequivalent atoms, fractional coordinates:
Fe: 0.0000 0.0000 0.0000 (multiplicity 1)  8 Mo 2.64, 4 Fe 2.68
Mo: 0.5000 0.5000 0.5000 (multiplicity 1)  8 Fe 2.64, 4 Mo 2.68

[2]
First-principles (PBE) data for a relaxed MgCd6Hg12 crystal, as listed in Alexandria.

Output
E = -31.317 eV per cell
DFT formation energy = 0.01 eV/atom
distance to the lowest polymorph of the same formula = 0.007 eV per atom
M_tot = 0.00 μB per cell
DOS at the Fermi energy = 15.3 states/eV per cell

a b c (Å): 11.3735 11.3735 12.6600
angles (deg): 90.00 90.00 120.00
With the nearest neighbours (Å) after each atom.
Space group R-3 (No. 148, hexagonal axes)
Inequivalent atoms, fractional coordinates:
Mg: 0.0000 0.0000 0.0000 (multiplicity 3)  6 Hg 2.98, 6 Cd 3.23
Cd: 0.0205 0.4400 0.7109 (multiplicity 18)  9 Hg 3.10-3.37, 1 Mg 3.23, 2 Cd 3.37
Hg: 0.0507 0.1851 0.8174 (multiplicity 18)  1 Mg 2.98, 4 Hg 3.06-3.26, 4 Cd 3.15-3.28
Hg: 0.0666 0.8557 0.4054 (multiplicity 18)  4 Hg 3.06-3.20, 4 Cd 3.10-3.34

[3]
First-principles (PBE) data for a relaxed Ac2Pm3DyTe6 crystal, as listed in Alexandria.

Output
E = -125.406 eV per cell
formation energy (no corrections) = -1.3985 eV/atom
M_tot = 0.00 μB per cell
DOS at the Fermi energy = 13.7 states/eV per cell

a b c (Å): 19.7298 4.5038 9.1593
angles (deg): 90.00 102.78 90.00
With the nearest neighbours (Å) after each atom.
Space group C2/m (No. 12)
Inequivalent atoms, fractional coordinates:
Ac: 0.1655 0.0000 0.3332 (multiplicity 4)  6 Te 3.29-3.32
Pm: 0.0000 0.5000 0.5000 (multiplicity 2)  6 Te 3.14-3.26
Pm: 0.1733 0.0000 0.8376 (multiplicity 4)  6 Te 3.14-3.20
Dy: 0.0000 0.5000 0.0000 (multiplicity 2)  6 Te 3.10-3.17
Te: 0.0069 0.0000 0.7605 (multiplicity 4)  2 Dy 3.17, 3 Pm 3.20-3.26, 1 Ac 3.32
Te: 0.1610 0.5000 0.0695 (multiplicity 4)  1 Dy 3.10, 3 Pm 3.14-3.19, 2 Ac 3.29
Te: 0.1629 0.5000 0.5942 (multiplicity 4)  3 Pm 3.14, 3 Ac 3.29-3.30

[4]
First-principles (PBE) data for a relaxed KZr2Cu crystal, as listed in Alexandria.

Output
E = -40.500 eV per cell
DFT formation energy = 0.51 eV/atom
distance to the lowest polymorph of the same formula = 0.272 eV per atom
M_tot = 0.00 μB per cell
DOS at the Fermi energy = 10.9 states/eV per cell

a b c (Å): 2.9543 5.5471 11.8544
angles (deg): 90.00 90.00 90.00
With the nearest neighbours (Å) after each atom.
Space group Immm (No. 71)
Inequivalent atoms, fractional coordinates:
K: 0.0000 0.0000 0.0000 (multiplicity 2)  2 K 2.95, 4 Cu 3.14
Zr: 0.0000 0.5000 0.2034 (multiplicity 4)  2 Cu 2.83, 2 Zr 2.95
Cu: 0.0000 0.0000 0.5000 (multiplicity 2)  4 Zr 2.83, 2 Cu 2.95, 4 K 3.14